## YNpMnO6 (GGA+U)

Data for a geometry-optimized YNpMnO6 structure.

Properties
Its total DFT energy (no corrections) is -159.35 eV per cell.

Lattice parameters (Å, degrees): 5.7184 5.7184 8.9580 90.00 90.00 120.00
Last column: magnetic moment on the atom in μB.
Atoms (fractional coordinates):
Y (0.3333, 0.6667, 0.2500)  0.01
O (0.3292, 0.3612, 0.8684)  0.00
Np (0.3333, 0.6667, 0.7500)  0.17
O (0.6388, 0.6708, 0.6316)  0.00
O (0.3612, 0.0320, 0.1316)  0.00
O (0.0320, 0.3612, 0.6316)  0.00
O (0.6708, 0.6388, 0.1316)  0.00
Np (0.6667, 0.3333, 0.2500)  0.17
O (0.9680, 0.3292, 0.1316)  0.00
O (0.3292, 0.9680, 0.6316)  0.00
Mn (0.0000, 0.0000, 0.5000)  4.64
O (0.6388, 0.9680, 0.8684)  0.00
O (0.9680, 0.6388, 0.3684)  0.00
O (0.6708, 0.0320, 0.3684)  0.00
Mn (0.0000, 0.0000, 0.0000)  4.64
O (0.0320, 0.6708, 0.8684)  0.00
Y (0.6667, 0.3333, 0.7500)  0.01
O (0.3612, 0.3292, 0.3684)  0.00